A plane-wave DFT calculation with PBE was carried out for crystalline PrEr2Sc2 at its relaxed geometry.

POSCAR file:
```
PrEr2Sc2
1.0
-2.736 3.382 8.041
2.736 -3.382 8.041
2.736 3.382 -8.041
Pr Er Sc
2 4 4
Direct
0.375 0.125 0.250
0.625 0.875 0.750
0.126 0.876 0.250
0.251 0.501 0.750
0.749 0.499 0.250
0.874 0.124 0.750
0.185 0.692 0.494
0.302 0.308 0.994
0.698 0.692 0.006
0.815 0.308 0.506
```

Formation energy from the elements   0.128 eV per atom
Relative energy among the computed polymorphs   0 meV/atom



A plane-wave DFT calculation with PBE was carried out for crystalline CsLaZnTe3 at its relaxed geometry.

POSCAR file:
```
CsLaZnTe3
1.0
2.297 -8.627 0.000
2.297 8.627 0.000
0.000 0.000 12.242
Cs La Zn Te
2 2 2 6
Direct
0.246 0.754 0.750
0.754 0.246 0.250
0.500 0.500 0.000
0.500 0.500 0.500
0.035 0.965 0.250
0.965 0.035 0.750
0.122 0.878 0.069
0.122 0.878 0.431
0.440 0.560 0.250
0.560 0.440 0.750
0.878 0.122 0.569
0.878 0.122 0.931
```

Formation energy from raw total energies   -1.17 eV/atom
Relative energy among the computed polymorphs   0 meV/atom



A plane-wave DFT calculation with PBE was carried out for crystalline Cs3K3Rb2 at its relaxed geometry.

POSCAR file:
```
Cs3K3Rb2
1.0
3.827 -8.996 0.000
3.827 8.996 0.000
0.000 0.000 22.207
Cs K Rb
6 6 4
Direct
0.063 0.937 0.611
0.063 0.937 0.889
0.301 0.699 0.750
0.699 0.301 0.250
0.937 0.063 0.111
0.937 0.063 0.389
0.406 0.594 0.557
0.406 0.594 0.943
0.424 0.576 0.250
0.576 0.424 0.750
0.594 0.406 0.057
0.594 0.406 0.443
0.236 0.764 0.095
0.236 0.764 0.405
0.764 0.236 0.595
0.764 0.236 0.905
```

Formation energy from the elements   0.025 eV per atom
Relative energy among the computed polymorphs   14 meV/atom



A plane-wave DFT calculation with PBE was carried out for crystalline AcUTeN2 at its relaxed geometry.

POSCAR file:
```
AcUTeN2
1.0
-2.002 2.002 6.736
2.002 -2.002 6.736
2.002 2.002 -6.736
Ac U Te N
1 1 1 2
Direct
0.000 0.000 0.000
0.319 0.319 0.000
0.666 0.666 0.000
0.387 0.887 0.500
0.887 0.387 0.500
```

Formation energy from raw total energies   -1.41 eV/atom